The following is a DFT calculation (PBE) of a geometry-optimized Rb4Hg2Au5 structure.

The space-group type is P2/m. Its spin magnetization is 0.00 μB per formula unit. The energy of formation from the pure elements is -0.228 eV per atom. Its total energy is -2.124 eV per atom.

a = 4.5806 Å, b = 8.5955 Å, c = 10.1141 Å
α = 99.82°, β = 90.00°, γ = 90.00°
With the nearest neighbours (Å) after each atom.
Element x y z (fractional)
Au  0.0000  0.3668  0.4024  1 Au 2.76, 1 Hg 2.80
Au  0.0000  0.8001  0.1341  1 Au 2.70, 1 Hg 2.79
Au  0.0000  0.5000  0.0000  2 Au 2.70
Rb  0.5000  0.2200  0.1296  6 Au 3.50-3.72, 2 Hg 3.80
Hg  0.0000  0.0363  0.3607  2 Au 2.79-2.80, 1 Hg 2.99
Rb  0.5000  0.6741  0.3440  6 Au 3.42-3.62
Au  0.0000  0.1999  0.8659  1 Au 2.70, 1 Hg 2.79
Rb  0.5000  0.3259  0.6560  6 Au 3.42-3.62
Hg  0.0000  0.9637  0.6393  2 Au 2.79-2.80, 1 Hg 2.99
Rb  0.5000  0.7800  0.8704  6 Au 3.50-3.72, 2 Hg 3.80
Au  0.0000  0.6332  0.5976  1 Au 2.76, 1 Hg 2.80


The following is a DFT calculation (PBE) of a geometry-optimized SrCdRh2 structure.

The space-group type is P4/mmm. Its spin magnetization is 0.00 μB per formula unit. The energy of formation from the pure elements is -0.014 eV per atom. Its total energy is -4.339 eV per atom.

a = 3.4458 Å, b = 3.4458 Å, c = 6.7891 Å
α = 90.00°, β = 90.00°, γ = 90.00°
With the nearest neighbours (Å) after each atom.
Element x y z (fractional)
Rh  0.0000  0.0000  0.9592  4 Cd 2.82, 1 Rh 2.84, 4 Sr 3.14
Sr  0.5000  0.5000  0.2500  8 Rh 3.14, 2 Cd 3.39, 4 Sr 3.45
Cd  0.5000  0.5000  0.7500  8 Rh 2.82
Rh  0.0000  0.0000  0.5408  4 Cd 2.82, 1 Rh 2.84, 4 Sr 3.14


The following is a DFT calculation (PBE) of a geometry-optimized Tb4TePS2 structure.

The space-group type is P2/m. Its spin magnetization is 0.00 μB per formula unit. The calculation puts the raw formation energy at -1.75 eV per atom. Its total energy is -6.163 eV per atom.

a = 4.0339 Å, b = 6.9859 Å, c = 7.1784 Å
α = 71.00°, β = 90.00°, γ = 90.00°
With the nearest neighbours (Å) after each atom.
Element x y z (fractional)
P  0.0000  0.5000  0.5000  6 Tb 2.82-2.83
Tb  0.0000  0.2274  0.2844  3 S 2.72-2.97, 1 P 2.82
S  0.5000  0.0000  0.5000  6 Tb 2.72-2.73
Tb  0.0000  0.7727  0.7156  3 S 2.72-2.97, 1 P 2.82
S  0.0000  0.0000  0.0000  6 Tb 2.94-2.97
Tb  0.5000  0.7536  0.2721  3 S 2.73-2.94, 2 P 2.83, 1 Te 3.03
Te  0.5000  0.5000  0.0000  6 Tb 3.03-3.05
Tb  0.5000  0.2464  0.7279  3 S 2.73-2.94, 2 P 2.83, 1 Te 3.03


The following is a DFT calculation (PBE) of a geometry-optimized LaTaO2F structure.

The space-group type is P4/mmm. Its spin magnetization is 2.95 μB per formula unit. The calculation puts the raw formation energy at -1.07 eV per atom. Its total energy is -6.779 eV per atom.

a = 4.6832 Å, b = 4.6832 Å, c = 4.4376 Å
α = 90.00°, β = 90.00°, γ = 90.00°
With the nearest neighbours (Å) after each atom.
Element x y z (fractional)
La  0.0000  0.0000  0.0000  2 F 2.22, 4 O 2.34
Ta  0.5000  0.5000  0.5000  8 O 3.23, 4 F 3.31
O  0.5000  0.0000  0.0000  2 La 2.34
F  0.0000  0.0000  0.5000  2 La 2.22
O  0.0000  0.5000  0.0000  2 La 2.34


The following is a DFT calculation (PBE) of a geometry-optimized SiNiAu2 structure.

The space-group type is Immm. Its spin magnetization is 0.00 μB per formula unit. The calculation puts the raw formation energy at -0.07 eV per atom. Its total energy is -4.506 eV per atom.

a = 6.8181 Å, b = 6.8181 Å, c = 6.8181 Å
α = 148.82°, β = 156.44°, γ = 39.45°
With the nearest neighbours (Å) after each atom.
Element x y z (fractional)
Ni  0.7500  0.2500  0.5000  4 Si 2.30
Au  0.0721  0.0721  0.0000  2 Ni 2.67, 6 Au 2.78-2.95, 2 Si 2.93
Au  0.4279  0.4279  0.0000  2 Ni 2.67, 6 Au 2.78-2.95, 2 Si 2.93
Si  0.2500  0.7500  0.5000  4 Ni 2.30


Among the records above, which one has the highest spin magnetization? LaTaO2F


Which of these has the highest spin magnetization? LaTaO2F


Copy entry 2 word for word.
The following is a DFT calculation (PBE) of a geometry-optimized SrCdRh2 structure.

The space-group type is P4/mmm. Its spin magnetization is 0.00 μB per formula unit. The energy of formation from the pure elements is -0.014 eV per atom. Its total energy is -4.339 eV per atom.

a = 3.4458 Å, b = 3.4458 Å, c = 6.7891 Å
α = 90.00°, β = 90.00°, γ = 90.00°
With the nearest neighbours (Å) after each atom.
Element x y z (fractional)
Rh  0.0000  0.0000  0.9592  4 Cd 2.82, 1 Rh 2.84, 4 Sr 3.14
Sr  0.5000  0.5000  0.2500  8 Rh 3.14, 2 Cd 3.39, 4 Sr 3.45
Cd  0.5000  0.5000  0.7500  8 Rh 2.82
Rh  0.0000  0.0000  0.5408  4 Cd 2.82, 1 Rh 2.84, 4 Sr 3.14